No. 1
A geometry-optimized PuSc3Al8 structure. Source: the Alexandria database, functional PBE-GGA.

Summary:
Crystal system = trigonal
Energy = -68.298 eV/cell
E_form = -0.419 eV/atom

a = 5.4110 Å, b = 5.4110 Å, c = 8.8318 Å
α = 90.00°, β = 90.00°, γ = 120.00°
With the nearest neighbours (Å) after each atom.
Positions (direct):
Pu: 0.0000 0.0000 0.0000  12 Al 3.17-3.21, 4 Sc 3.18-3.34
Sc: 0.0000 0.0000 0.3602  12 Al 3.10-3.20, 1 Pu 3.18, 3 Sc 3.35
Sc: 0.6667 0.3333 0.4979  12 Al 3.13-3.17, 4 Sc 3.26-3.35
Sc: 0.6667 0.3333 0.8666  12 Al 3.17-3.22, 1 Sc 3.26, 3 Pu 3.34
Al: 0.1619 0.3238 0.6791  6 Al 2.63-2.78
Al: 0.1619 0.8381 0.6791  6 Al 2.63-2.78
Al: 0.3333 0.6667 0.4364  6 Al 2.68-2.72
Al: 0.3333 0.6667 0.9330  6 Al 2.76-2.77
Al: 0.5047 0.0094 0.1880  6 Al 2.63-2.78
Al: 0.5047 0.4953 0.1880  6 Al 2.63-2.78
Al: 0.6762 0.8381 0.6791  6 Al 2.63-2.78
Al: 0.9906 0.4953 0.1880  6 Al 2.63-2.78


No. 2
A geometry-optimized BeIrBr structure. Source: the Alexandria database, functional PBE-GGA.

Summary:
Crystal system = triclinic
Energy = -28.839 eV/cell
E_form (uncorrected) = -53.2 meV per atom

a = 2.8612 Å, b = 4.3599 Å, c = 11.1084 Å
α = 89.59°, β = 83.53°, γ = 70.86°
With the nearest neighbours (Å) after each atom.
Positions (direct):
Be: 0.0000 0.0000 0.0000  1 Br 2.10, 2 Ir 2.23
Be: 0.2210 0.4611 0.1110  5 Ir 2.32-2.37, 1 Be 2.57
Ir: 0.4789 0.9114 0.1502  5 Be 2.23-2.37
Ir: 0.7075 0.3478 0.2720  2 Be 2.34, 1 Br 2.42
Br: 0.0289 0.1082 0.8149  1 Be 2.10
Br: 0.5077 0.5689 0.4777  1 Ir 2.42


No. 3
A geometry-optimized Mg3ScC structure. Source: the Alexandria database, functional PBE-GGA.

Summary:
Crystal system = cubic
Energy = -9.273 eV/cell
E_form = 2.213 eV/atom

a = 5.8189 Å, b = 5.8189 Å, c = 5.8189 Å
α = 90.00°, β = 90.00°, γ = 90.00°
With the nearest neighbours (Å) after each atom.
Positions (direct):
Mg: 0.0000 0.0000 0.5000  2 Sc 2.91
Mg: 0.0000 0.5000 0.0000  2 Sc 2.91
Mg: 0.5000 0.0000 0.0000  2 Sc 2.91
Sc: 0.0000 0.0000 0.0000  6 Mg 2.91
C: 0.5000 0.5000 0.5000  12 Mg 4.11


What did the third record say?
A geometry-optimized Mg3ScC structure. Source: the Alexandria database, functional PBE-GGA.

Summary:
Crystal system = cubic
Energy = -9.273 eV/cell
E_form = 2.213 eV/atom

a = 5.8189 Å, b = 5.8189 Å, c = 5.8189 Å
α = 90.00°, β = 90.00°, γ = 90.00°
With the nearest neighbours (Å) after each atom.
Positions (direct):
Mg: 0.0000 0.0000 0.5000  2 Sc 2.91
Mg: 0.0000 0.5000 0.0000  2 Sc 2.91
Mg: 0.5000 0.0000 0.0000  2 Sc 2.91
Sc: 0.0000 0.0000 0.0000  6 Mg 2.91
C: 0.5000 0.5000 0.5000  12 Mg 4.11